No. 1
The following is a DFT calculation (PBEsol) of crystalline CuNiRh2 at its relaxed geometry.

* E_form: 0.070 eV/atom

a b c (Å): 2.619 2.619 8.454
angles (deg): 81.09 81.09 60.00
Positions (direct):
Rh (0.997, 0.997, 0.009)
Rh (0.751, 0.751, 0.746)
Cu (0.503, 0.503, 0.490)
Ni (0.248, 0.248, 0.255)

=====

No. 2
The following is a DFT calculation (PBEsol) of crystalline CuAg4 at its relaxed geometry.

* E above lowest polymorph: 0 kJ/mol of formula units
* E_form: 0.065 eV/atom

a b c (Å): 3.967 4.861 4.861
angles (deg): 80.41 65.92 65.92
Positions (direct):
Ag (0.204, 0.399, 0.194)
Ag (0.398, 0.806, 0.399)
Ag (0.602, 0.194, 0.601)
Ag (0.796, 0.601, 0.806)
Cu (0.000, 0.000, 0.000)

=====

No. 3
The following is a DFT calculation (PBEsol) of crystalline CaMoPb at its relaxed geometry.

* E above lowest polymorph: 0 kJ/mol of formula units
* E_form: 0.548 eV/atom

a b c (Å): 3.085 3.085 7.383
angles (deg): 102.06 102.06 90.00
Positions (direct):
Ca (0.008, 0.008, 0.016)
Pb (0.319, 0.319, 0.639)
Mo (0.673, 0.673, 0.346)

=====

No. 4
The following is a DFT calculation (PBEsol) of crystalline Li3VF6 at its relaxed geometry.

* uncorrected formation energy: -29.0 eV per formula unit
* E above lowest polymorph: 23 kJ/mol of formula units

a b c (Å): 5.021 5.021 9.410
angles (deg): 90.00 90.00 120.00
Positions (direct):
F (0.327, 0.353, 0.130)
F (0.353, 0.327, 0.630)
F (0.026, 0.673, 0.130)
F (0.647, 0.974, 0.130)
F (0.673, 0.026, 0.630)
F (0.974, 0.327, 0.870)
F (0.673, 0.647, 0.870)
F (0.974, 0.647, 0.630)
F (0.026, 0.353, 0.370)
F (0.647, 0.673, 0.370)
F (0.353, 0.026, 0.870)
F (0.327, 0.974, 0.370)
Li (0.000, 0.000, 0.750)
Li (0.667, 0.333, 0.051)
Li (0.000, 0.000, 0.250)
Li (0.333, 0.667, 0.551)
Li (0.667, 0.333, 0.449)
Li (0.333, 0.667, 0.949)
V (0.333, 0.667, 0.250)
V (0.667, 0.333, 0.750)

=====

No. 5
The following is a DFT calculation (PBEsol) of crystalline TiIrC3 at its relaxed geometry.

* E_form: 2.411 eV/atom

a b c (Å): 3.896 3.896 3.896
angles (deg): 90.00 90.00 90.00
Positions (direct):
C (0.500, 0.000, 0.000)
C (0.000, 0.000, 0.500)
C (0.000, 0.500, 0.000)
Ti (0.000, 0.000, 0.000)
Ir (0.500, 0.500, 0.500)

=====

No. 6
The following is a DFT calculation (PBEsol) of crystalline Na2Cu2Si5H6O16 at its relaxed geometry.

* VASP energy: -405.72 eV for the cell shown

a b c (Å): 5.158 11.203 11.860
angles (deg): 96.32 90.00 90.00
Positions (direct):
Si (0.064, 0.523, 0.735)
Si (0.799, 0.751, 0.753)
Si (0.938, 0.479, 0.271)
Si (0.062, 0.979, 0.771)
Si (0.456, 0.623, 0.288)
Si (0.201, 0.251, 0.253)
Si (0.446, 0.886, 0.207)
Si (0.554, 0.386, 0.707)
Si (0.544, 0.123, 0.788)
Si (0.936, 0.023, 0.235)
O (0.538, 0.403, 0.574)
O (0.001, 0.849, 0.700)
O (0.637, 0.820, 0.856)
O (0.082, 0.538, 0.600)
O (0.992, 0.154, 0.304)
O (0.008, 0.654, 0.804)
O (0.633, 0.681, 0.651)
O (0.913, 0.461, 0.405)
O (0.999, 0.349, 0.200)
O (0.050, 0.220, 0.563)
O (0.487, 0.141, 0.922)
O (0.667, 0.530, 0.220)
O (0.367, 0.181, 0.151)
O (0.664, 0.970, 0.283)
O (0.950, 0.720, 0.063)
O (0.513, 0.641, 0.422)
O (0.469, 0.082, 0.490)
O (0.336, 0.470, 0.783)
O (0.087, 0.961, 0.905)
O (0.531, 0.582, 0.990)
O (0.165, 0.576, 0.248)
O (0.918, 0.038, 0.100)
O (0.835, 0.076, 0.748)
O (0.363, 0.320, 0.356)
O (0.511, 0.250, 0.734)
O (0.966, 0.797, 0.437)
O (0.034, 0.297, 0.937)
O (0.333, 0.030, 0.720)
O (0.462, 0.903, 0.074)
O (0.162, 0.927, 0.262)
O (0.489, 0.750, 0.234)
O (0.838, 0.427, 0.762)
Cu (0.231, 0.421, 0.484)
Cu (0.769, 0.921, 0.984)
Cu (0.247, 0.072, 0.024)
Cu (0.753, 0.572, 0.524)
H (0.999, 0.684, 0.131)
H (0.480, 0.527, 0.923)
H (0.206, 0.259, 0.924)
H (0.192, 0.168, 0.527)
H (0.527, 0.536, 0.056)
H (0.520, 0.027, 0.423)
H (0.991, 0.335, 0.869)
H (0.794, 0.759, 0.424)
H (0.808, 0.668, 0.027)
H (0.009, 0.835, 0.369)
H (0.001, 0.184, 0.631)
H (0.473, 0.036, 0.556)
Na (0.262, 0.735, 0.564)
Na (0.286, 0.756, 0.945)
Na (0.738, 0.235, 0.064)
Na (0.714, 0.256, 0.445)

=====

No. 7
The following is a DFT calculation (PBEsol) of crystalline KHg2Cl at its relaxed geometry.

* uncorrected formation energy: -2.3 eV per formula unit

a b c (Å): 5.505 5.505 5.514
angles (deg): 60.06 60.06 60.00
Positions (direct):
Hg (0.750, 0.750, 0.751)
Hg (0.250, 0.250, 0.249)
K (0.500, 0.500, 0.500)
Cl (0.000, 0.000, 0.000)

=====

No. 8
The following is a DFT calculation (PBEsol) of crystalline CoPb3 at its relaxed geometry.

* E_form: 0.288 eV/atom

a b c (Å): 3.302 3.302 8.473
angles (deg): 90.05 90.00 90.00
Positions (direct):
Pb (0.500, 0.500, 0.809)
Pb (0.000, 0.000, 0.500)
Pb (0.500, 0.500, 0.191)
Co (0.000, 0.000, 0.000)